## FeAs2F (GGA+U)

Data for FeAs2F after structural relaxation.

Geometry as POSCAR:
```
FeAs2F
1.0
0.000 3.095 3.095
3.095 0.000 3.095
3.095 3.095 0.000
Fe As F
1 2 1
Cartesian
0.000 0.000 0.000 Fe
1.548 1.548 1.548 As
4.643 4.643 4.643 As
3.095 3.095 3.095 F
```

Results
**Spin magnetization**: 2.988 μB per formula unit
**Density of states at the Fermi level**: 1.3 states/eV/f.u.
**Mass density**: 6.3 g cm⁻³
**Distance to the lowest polymorph of the same formula**: 0.60 eV per formula unit